SrPt2Cl: relaxed, PBE.

## Properties
Excess energy over the best structure of this formula in the dataset ... 0.0 meV/atom
Mass density ... 8.3 Mg/m³
Calculated volume ... 25.61 Å³/atom
Energy relative to the elements, uncorrected ... -0.80 eV per atom

Lattice parameters (Å, degrees): 3.6471 3.6471 7.7000 90.00 90.00 90.00
Last column: nearest neighbours and their distance in Å.
Sites, in units of the cell vectors:
Sr1 0.0000 0.0000 0.0000  1 Pt 2.86, 4 Cl 2.94
Pt1 0.0000 0.0000 0.6289  4 Pt 2.63, 1 Sr 2.86
Pt2 0.5000 0.5000 0.6925  4 Pt 2.63
Cl1 0.5000 0.5000 0.1843  4 Sr 2.94